First-principles (PBE) data for U2CuN after structural relaxation, as listed in Alexandria.

POSCAR file:
```
U2CuN
1.0
1.516 0.875 8.912
-1.516 0.875 8.912
0.000 -1.751 8.912
U Cu N
2 1 1
direct
0.109 0.109 0.109
0.891 0.891 0.891
0.000 0.000 0.000
0.500 0.500 0.500
```

Formation energy from raw total energies: -2.8 kcal/mol of atoms
Symmetry: R-3m